w.
This record from Alexandria via LeMat-Bulk describes CoOsPt3 after structural relaxation. The functional is PBE.

Structure (CIF):
```
data_CoOsPt3
_cell_length_a 4.788
_cell_length_b 4.788
_cell_length_c 4.788
_cell_angle_alpha 90.00
_cell_angle_beta 90.00
_cell_angle_gamma 90.00
_symmetry_space_group_name_H-M 'P m -3 m'
_symmetry_Int_Tables_number 221
_symmetry_space_group_name_Hall '-P 4 2 3'
loop_
_atom_site_label
_atom_site_type_symbol
_atom_site_fract_x
_atom_site_fract_y
_atom_site_fract_z
Co1 Co 0.000 0.000 0.000
Os1 Os 0.500 0.500 0.500
Pt1 Pt 0.000 0.500 0.500
```

Results
The calculation puts the total magnetic moment at 0.013 μB/cell.

***

x.
This record from Alexandria via LeMat-Bulk describes CoOsPt3 after structural relaxation. The functional is PBE.

Structure (CIF):
```
data_CoOsPt3
_cell_length_a 4.482
_cell_length_b 4.482
_cell_length_c 4.482
_cell_angle_alpha 90.00
_cell_angle_beta 90.00
_cell_angle_gamma 90.00
_symmetry_space_group_name_H-M 'P m -3 m'
_symmetry_Int_Tables_number 221
_symmetry_space_group_name_Hall '-P 4 2 3'
loop_
_atom_site_label
_atom_site_type_symbol
_atom_site_fract_x
_atom_site_fract_y
_atom_site_fract_z
Co1 Co 0.000 0.000 0.000
Os1 Os 0.500 0.500 0.500
Pt1 Pt 0.000 0.000 0.500
```

Results
The calculation puts the total magnetic moment at 5.071 μB/cell.

***

The most stable arrangement is x, and the next structure is 271 meV/atom less stable.

***

w.
This record from Alexandria via LeMat-Bulk describes RbCoOs2 after structural relaxation. The functional is PBE.

Structure (CIF):
```
data_RbCoOs2
_cell_length_a 6.370
_cell_length_b 6.370
_cell_length_c 6.370
_cell_angle_alpha 90.00
_cell_angle_beta 90.00
_cell_angle_gamma 90.00
_symmetry_space_group_name_H-M 'F m -3 m'
_symmetry_Int_Tables_number 225
_symmetry_space_group_name_Hall '-F 4 2 3'
loop_
_atom_site_label
_atom_site_type_symbol
_atom_site_fract_x
_atom_site_fract_y
_atom_site_fract_z
Rb1 Rb 0.000 0.000 0.000
Co1 Co 0.000 0.000 0.500
Os1 Os 0.250 0.250 0.250
```

Results
The calculation puts the total magnetic moment at 0.000 μB/cell.

***

x.
This record from Alexandria via LeMat-Bulk describes RbCoOs2 after structural relaxation. The functional is PBE.

Structure (CIF):
```
data_RbCoOs2
_cell_length_a 4.959
_cell_length_b 4.959
_cell_length_c 16.323
_cell_angle_alpha 90.00
_cell_angle_beta 90.00
_cell_angle_gamma 90.00
_symmetry_space_group_name_H-M 'I 41/a m d'
_symmetry_Int_Tables_number 141
loop_
_symmetry_equiv_pos_as_xyz
'x,y,z'
'-x,-y,-z'
'-y+1/4,x+3/4,z+1/4'
'y+1/4,-x+3/4,-z+1/4'
'-x+1/2,-y,z+1/2'
'x+1/2,y,-z+1/2'
'y+1/4,-x+1/4,z+3/4'
'-y+1/4,x+1/4,-z+3/4'
'x,-y,-z'
'-x,y,z'
'-y+1/4,-x+1/4,-z+3/4'
'y+1/4,x+1/4,z+3/4'
'-x+1/2,y,-z+1/2'
'x+1/2,-y,z+1/2'
'y+1/4,x+3/4,-z+1/4'
'-y+1/4,-x+3/4,z+1/4'
'x+1/2,y+1/2,z+1/2'
'-x+1/2,-y+1/2,-z+1/2'
'-y+3/4,x+1/4,z+3/4'
'y+3/4,-x+1/4,-z+3/4'
'-x,-y+1/2,z'
'x,y+1/2,-z'
'y+3/4,-x+3/4,z+1/4'
'-y+3/4,x+3/4,-z+1/4'
'x+1/2,-y+1/2,-z+1/2'
'-x+1/2,y+1/2,z+1/2'
'-y+3/4,-x+3/4,-z+1/4'
'y+3/4,x+3/4,z+1/4'
'-x,y+1/2,-z'
'x,-y+1/2,z'
'y+3/4,x+1/4,-z+3/4'
'-y+3/4,-x+1/4,z+3/4'
loop_
_atom_site_label
_atom_site_type_symbol
_atom_site_fract_x
_atom_site_fract_y
_atom_site_fract_z
Rb1 Rb 0.000 0.250 0.375
Co1 Co 0.000 0.250 0.875
Os1 Os 0.000 0.000 0.000
```

Results
The calculation puts the total magnetic moment at 5.623 μB/cell.

***

The most stable arrangement is x, and the next structure is 681 meV/atom less stable.

***

w.
This record from Alexandria via LeMat-Bulk describes CoRe2Os after structural relaxation. The functional is PBE.

Structure (CIF):
```
data_CoRe2Os
_cell_length_a 2.707
_cell_length_b 2.707
_cell_length_c 7.539
_cell_angle_alpha 90.00
_cell_angle_beta 90.00
_cell_angle_gamma 90.00
_symmetry_space_group_name_H-M 'P 4 m m'
_symmetry_Int_Tables_number 99
_symmetry_space_group_name_Hall 'P 4 -2'
loop_
_atom_site_label
_atom_site_type_symbol
_atom_site_fract_x
_atom_site_fract_y
_atom_site_fract_z
Co1 Co 0.000 0.000 0.000
Re1 Re 0.000 0.000 0.493
Re2 Re 0.500 0.500 0.774
Os1 Os 0.500 0.500 0.247
```

Results
The calculation puts the total magnetic moment at 0.000 μB/cell.

***

x.
This record from Alexandria via LeMat-Bulk describes CoRe2Os after structural relaxation. The functional is PBE.

Structure (CIF):
```
data_CoRe2Os
_cell_length_a 2.722
_cell_length_b 4.293
_cell_length_c 4.706
_cell_angle_alpha 90.00
_cell_angle_beta 90.00
_cell_angle_gamma 90.00
_symmetry_space_group_name_H-M 'P m m 2'
_symmetry_Int_Tables_number 25
_symmetry_space_group_name_Hall 'P 2 -2'
loop_
_atom_site_label
_atom_site_type_symbol
_atom_site_fract_x
_atom_site_fract_y
_atom_site_fract_z
Co1 Co 0.000 0.000 0.000
Re1 Re 0.500 0.000 0.485
Re2 Re 0.500 0.500 0.147
Os1 Os 0.000 0.500 0.664
```

Results
The calculation puts the total magnetic moment at 0.000 μB/cell.

***

The most stable arrangement is x, and the next structure is 157 meV/atom less stable.

***

w.
This record from Alexandria via LeMat-Bulk describes CoRe2Os after structural relaxation. The functional is PBE.

Structure (CIF):
```
data_CoRe2Os
_cell_length_a 3.787
_cell_length_b 3.787
_cell_length_c 3.829
_cell_angle_alpha 90.00
_cell_angle_beta 90.00
_cell_angle_gamma 90.00
_symmetry_space_group_name_H-M 'P 4/m m m'
_symmetry_Int_Tables_number 123
_symmetry_space_group_name_Hall '-P 4 2'
loop_
_atom_site_label
_atom_site_type_symbol
_atom_site_fract_x
_atom_site_fract_y
_atom_site_fract_z
Co1 Co 0.000 0.000 0.000
Re1 Re 0.000 0.500 0.500
Os1 Os 0.500 0.500 0.000
```

Results
The calculation puts the total magnetic moment at 0.000 μB/cell.

***

x.
This record from Alexandria via LeMat-Bulk describes CoRe2Os after structural relaxation. The functional is PBE.

Structure (CIF):
```
data_CoRe2Os
_cell_length_a 3.121
_cell_length_b 3.121
_cell_length_c 5.691
_cell_angle_alpha 90.00
_cell_angle_beta 90.00
_cell_angle_gamma 90.00
_symmetry_space_group_name_H-M 'P 4 m m'
_symmetry_Int_Tables_number 99
_symmetry_space_group_name_Hall 'P 4 -2'
loop_
_atom_site_label
_atom_site_type_symbol
_atom_site_fract_x
_atom_site_fract_y
_atom_site_fract_z
Co1 Co 0.000 0.000 0.000
Re1 Re 0.000 0.000 0.521
Re2 Re 0.500 0.500 0.801
Os1 Os 0.500 0.500 0.247
```

Results
The calculation puts the total magnetic moment at 0.000 μB/cell.

***

The most stable arrangement is w, and the next structure is 200 meV/atom less stable.

***

w.
This record from Alexandria via LeMat-Bulk describes CoRe2Os after structural relaxation. The functional is PBE.

Structure (CIF):
```
data_CoRe2Os
_cell_length_a 2.854
_cell_length_b 4.506
_cell_length_c 8.884
_cell_angle_alpha 90.00
_cell_angle_beta 90.00
_cell_angle_gamma 90.00
_symmetry_space_group_name_H-M 'C m m 2'
_symmetry_Int_Tables_number 35
_symmetry_space_group_name_Hall 'C 2 -2'
loop_
_atom_site_label
_atom_site_type_symbol
_atom_site_fract_x
_atom_site_fract_y
_atom_site_fract_z
Co1 Co 0.000 0.000 0.000
Re1 Re 0.000 0.000 0.499
Re2 Re 0.000 0.500 0.241
Os1 Os 0.000 0.500 0.757
```

Results
The calculation puts the total magnetic moment at 4.274 μB/cell.

***

x.
This record from Alexandria via LeMat-Bulk describes CoRe2Os after structural relaxation. The functional is PBE.

Structure (CIF):
```
data_CoRe2Os
_cell_length_a 3.812
_cell_length_b 3.812
_cell_length_c 7.565
_cell_angle_alpha 90.00
_cell_angle_beta 90.00
_cell_angle_gamma 90.00
_symmetry_space_group_name_H-M 'I 4/m m m'
_symmetry_Int_Tables_number 139
_symmetry_space_group_name_Hall '-I 4 2'
loop_
_atom_site_label
_atom_site_type_symbol
_atom_site_fract_x
_atom_site_fract_y
_atom_site_fract_z
Co1 Co 0.000 0.000 0.000
Re1 Re 0.000 0.500 0.250
Os1 Os 0.000 0.000 0.500
```

Results
The calculation puts the total magnetic moment at 0.000 μB/cell.

***

The most stable arrangement is x, and the next structure is 380 meV/atom less stable.

***

w.
This record from Alexandria via LeMat-Bulk describes CoReOs after structural relaxation. The functional is PBE.

Structure (CIF):
```
data_CoReOs
_cell_length_a 2.687
_cell_length_b 2.687
_cell_length_c 11.060
_cell_angle_alpha 90.00
_cell_angle_beta 90.00
_cell_angle_gamma 90.00
_symmetry_space_group_name_H-M 'I 4 m m'
_symmetry_Int_Tables_number 107
_symmetry_space_group_name_Hall 'I 4 -2'
loop_
_atom_site_label
_atom_site_type_symbol
_atom_site_fract_x
_atom_site_fract_y
_atom_site_fract_z
Co1 Co 0.000 0.000 0.000
Re1 Re 0.000 0.000 0.340
Os1 Os 0.000 0.000 0.663
```

Results
The calculation puts the total magnetic moment at 0.000 μB/cell.

***

x.
This record from Alexandria via LeMat-Bulk describes CoReOs after structural relaxation. The functional is PBE.

Structure (CIF):
```
data_CoReOs
_cell_length_a 2.682
_cell_length_b 4.398
_cell_length_c 7.000
_cell_angle_alpha 90.00
_cell_angle_beta 90.00
_cell_angle_gamma 90.00
_symmetry_space_group_name_H-M 'I m m 2'
_symmetry_Int_Tables_number 44
_symmetry_space_group_name_Hall 'I 2 -2'
loop_
_atom_site_label
_atom_site_type_symbol
_atom_site_fract_x
_atom_site_fract_y
_atom_site_fract_z
Co1 Co 0.000 0.000 0.000
Re1 Re 0.000 0.500 0.181
Os1 Os 0.000 0.500 0.812
```

Results
The calculation puts the total magnetic moment at 0.001 μB/cell.

***

The most stable arrangement is w, and the next structure is 137 meV/atom less stable.

***

w.
This record from Alexandria via LeMat-Bulk describes CoReOs after structural relaxation. The functional is PBE.

Structure (CIF):
```
data_CoReOs
_cell_length_a 2.7020
_cell_length_b 2.7020
_cell_length_c 6.4429
_cell_angle_alpha 90.00
_cell_angle_beta 90.00
_cell_angle_gamma 120.00
_symmetry_space_group_name_H-M 'P 3 m 1'
_symmetry_Int_Tables_number 156
_symmetry_space_group_name_Hall 'P 3 -2"'
loop_
_atom_site_label
_atom_site_type_symbol
_atom_site_fract_x
_atom_site_fract_y
_atom_site_fract_z
Co1 Co 0.0000 0.0000 0.0000
Re1 Re 0.3333 0.6667 0.3280
Os1 Os 0.6667 0.3333 0.6707
```

Results
The calculation puts the total magnetic moment at 0.835 μB/cell.

***

x.
This record from Alexandria via LeMat-Bulk describes CoReOs after structural relaxation. The functional is PBE.

Structure (CIF):
```
data_CoReOs
_cell_length_a 2.691
_cell_length_b 3.767
_cell_length_c 7.941
_cell_angle_alpha 90.00
_cell_angle_beta 90.00
_cell_angle_gamma 90.00
_symmetry_space_group_name_H-M 'I m m 2'
_symmetry_Int_Tables_number 44
_symmetry_space_group_name_Hall 'I 2 -2'
loop_
_atom_site_label
_atom_site_type_symbol
_atom_site_fract_x
_atom_site_fract_y
_atom_site_fract_z
Co1 Co 0.000 0.000 0.000
Re1 Re 0.000 0.000 0.334
Os1 Os 0.000 0.000 0.664
```

Results
The calculation puts the total magnetic moment at 1.662 μB/cell.

***

y.
This record from Alexandria via LeMat-Bulk describes CoReOs after structural relaxation. The functional is PBE.

Structure (CIF):
```
data_CoReOs
_cell_length_a 4.1645
_cell_length_b 4.1645
_cell_length_c 2.6873
_cell_angle_alpha 90.00
_cell_angle_beta 90.00
_cell_angle_gamma 120.00
_symmetry_space_group_name_H-M 'P -6 m 2'
_symmetry_Int_Tables_number 187
_symmetry_space_group_name_Hall 'P -6 2'
loop_
_atom_site_label
_atom_site_type_symbol
_atom_site_fract_x
_atom_site_fract_y
_atom_site_fract_z
Co1 Co 0.0000 0.0000 0.0000
Re1 Re 0.6667 0.3333 0.0000
Os1 Os 0.3333 0.6667 0.5000
```

Results
The calculation puts the total magnetic moment at 0.002 μB/cell.

***

z.
This record from Alexandria via LeMat-Bulk describes CoReOs after structural relaxation. The functional is PBE.

Structure (CIF):
```
data_CoReOs
_cell_length_a 5.765
_cell_length_b 5.765
_cell_length_c 5.765
_cell_angle_alpha 90.00
_cell_angle_beta 90.00
_cell_angle_gamma 90.00
_symmetry_space_group_name_H-M 'F -4 3 m'
_symmetry_Int_Tables_number 216
_symmetry_space_group_name_Hall 'F -4 2 3'
loop_
_atom_site_label
_atom_site_type_symbol
_atom_site_fract_x
_atom_site_fract_y
_atom_site_fract_z
Co1 Co 0.000 0.000 0.000
Re1 Re 0.250 0.250 0.250
Os1 Os 0.000 0.000 0.500
```

Results
The calculation puts the total magnetic moment at 0.033 μB/cell.

***

The most stable arrangement is x, and the next structure is 65 meV/atom less stable.

***

w.
This record from Alexandria via LeMat-Bulk describes CoReOs after structural relaxation. The functional is PBE.

Structure (CIF):
```
data_CoReOs
_cell_length_a 4.631
_cell_length_b 2.689
_cell_length_c 6.496
_cell_angle_alpha 90.00
_cell_angle_beta 90.51
_cell_angle_gamma 90.00
_symmetry_space_group_name_H-M 'P 1 21/m 1'
_symmetry_Int_Tables_number 11
_symmetry_space_group_name_Hall '-P 2yb'
loop_
_atom_site_label
_atom_site_type_symbol
_atom_site_fract_x
_atom_site_fract_y
_atom_site_fract_z
Co1 Co 0.083 0.250 0.341
Re1 Re 0.404 0.250 0.668
Os1 Os 0.242 0.750 0.006
```

Results
The calculation puts the total magnetic moment at 1.602 μB/cell.

***

x.
This record from Alexandria via LeMat-Bulk describes CoReOs after structural relaxation. The functional is PBE.

Structure (CIF):
```
data_CoReOs
_cell_length_a 2.821
_cell_length_b 4.491
_cell_length_c 13.208
_cell_angle_alpha 90.00
_cell_angle_beta 90.00
_cell_angle_gamma 90.00
_symmetry_space_group_name_H-M 'F m m 2'
_symmetry_Int_Tables_number 42
_symmetry_space_group_name_Hall 'F 2 -2'
loop_
_atom_site_label
_atom_site_type_symbol
_atom_site_fract_x
_atom_site_fract_y
_atom_site_fract_z
Co1 Co 0.000 0.000 0.000
Re1 Re 0.000 0.000 0.662
Os1 Os 0.000 0.000 0.335
```

Results
The calculation puts the total magnetic moment at 8.035 μB/cell.

***

y.
This record from Alexandria via LeMat-Bulk describes CoReOs after structural relaxation. The functional is PBE.

Structure (CIF):
```
data_CoReOs
_cell_length_a 3.119
_cell_length_b 3.119
_cell_length_c 8.320
_cell_angle_alpha 90.00
_cell_angle_beta 90.00
_cell_angle_gamma 90.00
_symmetry_space_group_name_H-M 'I 4 m m'
_symmetry_Int_Tables_number 107
_symmetry_space_group_name_Hall 'I 4 -2'
loop_
_atom_site_label
_atom_site_type_symbol
_atom_site_fract_x
_atom_site_fract_y
_atom_site_fract_z
Co1 Co 0.000 0.000 0.000
Re1 Re 0.000 0.000 0.657
Os1 Os 0.000 0.000 0.334
```

Results
The calculation puts the total magnetic moment at 2.100 μB/cell.

***

z.
This record from Alexandria via LeMat-Bulk describes CoReOs after structural relaxation. The functional is PBE.

Structure (CIF):
```
data_CoReOs
_cell_length_a 3.797
_cell_length_b 11.089
_cell_length_c 3.810
_cell_angle_alpha 90.00
_cell_angle_beta 90.00
_cell_angle_gamma 90.00
_symmetry_space_group_name_H-M 'C m c m'
_symmetry_Int_Tables_number 63
_symmetry_space_group_name_Hall '-C 2c 2'
loop_
_atom_site_label
_atom_site_type_symbol
_atom_site_fract_x
_atom_site_fract_y
_atom_site_fract_z
Co1 Co 0.000 0.081 0.250
Re1 Re 0.000 0.417 0.250
Os1 Os 0.000 0.245 0.750
```

Results
The calculation puts the total magnetic moment at 0.000 μB/cell.

***

The most stable arrangement is z, and the next structure is 49 meV/atom less stable.